1.
Crystalline PrSbMo2O9 at its relaxed geometry, computed with PBEsol.

ΔE_f (raw), eV per atom: -2.2144
DOS at the Fermi energy, states/eV/cell: 0.00
Theoretical density, g/cm³: 4.64

The structure in CIF format:
```
data_PrSbMo2O9
_chemical_formula_sum 'Pr4 Sb4 Mo8 O36'
_space_group_name_H-M_alt 'P 1'
_space_group_IT_number 1
_cell_length_a 9.7563
_cell_length_b 9.7563
_cell_length_c 10.9034
_cell_angle_alpha 111.98
_cell_angle_beta 111.98
_cell_angle_gamma 95.69
loop_
_space_group_symop_operation_xyz
'x,y,z'
loop_
_atom_site_label
_atom_site_fract_x
_atom_site_fract_y
_atom_site_fract_z
Pr1 0.3254 0.6746 0.2500
Pr2 0.6746 0.3254 0.7500
Pr3 0.8761 0.1239 0.2500
Pr4 0.1239 0.8761 0.7500
Sb1 0.6211 0.6501 0.0381
Sb2 0.3499 0.3789 0.4619
Sb3 0.3789 0.3499 0.9619
Sb4 0.6501 0.6211 0.5381
Mo1 0.2608 0.0510 0.5304
Mo2 0.9490 0.7392 0.9696
Mo3 0.7392 0.9490 0.4696
Mo4 0.0510 0.2608 0.0304
Mo5 0.4365 0.0595 0.1980
Mo6 0.9405 0.5635 0.3020
Mo7 0.5635 0.9405 0.8020
Mo8 0.0595 0.4365 0.6980
O1 0.0954 0.0629 0.4041
O2 0.9371 0.9046 0.0959
O3 0.9046 0.9371 0.5959
O4 0.0629 0.0954 0.9041
O5 0.2947 0.8756 0.4419
O6 0.1244 0.7053 0.0581
O7 0.7053 0.1244 0.5581
O8 0.8756 0.2947 0.9419
O9 0.2308 0.0591 0.6828
O10 0.9409 0.7692 0.8172
O11 0.7692 0.9409 0.3172
O12 0.0591 0.2308 0.1828
O13 0.5985 0.7805 0.4274
O14 0.2195 0.4015 0.0726
O15 0.4015 0.2195 0.5726
O16 0.7805 0.5985 0.9274
O17 0.3053 0.9789 0.0120
O18 0.0211 0.6947 0.4880
O19 0.6947 0.0211 0.9880
O20 0.9789 0.3053 0.5120
O21 0.6169 0.1390 0.2211
O22 0.8610 0.3831 0.2789
O23 0.3831 0.8610 0.7789
O24 0.1390 0.6169 0.7211
O25 0.4492 0.9146 0.2572
O26 0.0854 0.5508 0.2428
O27 0.5508 0.0854 0.7428
O28 0.9146 0.4492 0.7572
O29 0.3749 0.2120 0.3020
O30 0.7880 0.6251 0.1980
O31 0.6251 0.7880 0.6980
O32 0.2120 0.3749 0.8020
O33 0.4618 0.5761 0.1004
O34 0.4239 0.5382 0.3996
O35 0.5382 0.4239 0.8996
O36 0.5761 0.4618 0.6004
```

2.
Crystalline Pr2Sn3 at its relaxed geometry, computed with PBEsol.

Calculated formation energy, meV per atom: -767
DOS at the Fermi energy, states/eV/cell: 9.40
Theoretical density, g/cm³: 7.68

The structure in CIF format:
```
data_Pr2Sn3
_chemical_formula_sum 'Pr8 Sn12'
_space_group_name_H-M_alt 'P 1'
_space_group_IT_number 1
_cell_length_a 6.3945
_cell_length_b 8.3914
_cell_length_c 11.1205
_cell_angle_alpha 107.29
_cell_angle_beta 96.63
_cell_angle_gamma 100.04
loop_
_space_group_symop_operation_xyz
'x,y,z'
loop_
_atom_site_label
_atom_site_fract_x
_atom_site_fract_y
_atom_site_fract_z
Pr1 0.3323 0.0313 0.7433
Pr2 0.6677 0.9687 0.2567
Pr3 0.9579 0.2515 0.0559
Pr4 0.0421 0.7485 0.9441
Pr5 0.5568 0.4318 0.3365
Pr6 0.4432 0.5682 0.6635
Pr7 0.1227 0.7552 0.3840
Pr8 0.8773 0.2448 0.6160
Sn1 0.0470 0.3542 0.3796
Sn2 0.9530 0.6458 0.6204
Sn3 0.3593 0.1648 0.4979
Sn4 0.6407 0.8352 0.5021
Sn5 0.4379 0.1715 0.0505
Sn6 0.5621 0.8285 0.9495
Sn7 0.3228 0.6020 0.1393
Sn8 0.6772 0.3980 0.8607
Sn9 0.2235 0.4052 0.8654
Sn10 0.7765 0.5948 0.1346
Sn11 0.1770 0.0380 0.2228
Sn12 0.8230 0.9620 0.7772
```